Density functional theory data (PBE) for a relaxed La2BiPd2 crystal.

Results
- N(E_F) (states/eV/atom) = 0.7769
- ΔE to the lowest computed polymorph (eV per atom) = 0.279

Geometry as POSCAR:
```
La2BiPd2
1.0
8.671 0.000 0.000
0.000 8.671 0.000
0.000 0.000 3.663
La Bi Pd
4 2 4
Direct
0.163 0.337 0.000
0.337 0.837 0.000
0.663 0.163 0.000
0.837 0.663 0.000
0.000 0.000 0.000
0.500 0.500 0.000
0.121 0.621 0.500
0.379 0.121 0.500
0.621 0.879 0.500
0.879 0.379 0.500
```

=====

Density functional theory data (PBE) for a relaxed LaBi2Pd crystal.

Results
- N(E_F) (states/eV/atom) = 0.5368
- raw total energy (eV per atom) = -5.031

Geometry as POSCAR:
```
LaBi2Pd
1.0
4.889 0.000 0.000
0.000 4.889 0.000
0.000 0.000 4.505
La Bi Pd
1 2 1
Direct
0.000 0.000 0.000
0.000 0.500 0.500
0.500 0.000 0.500
0.500 0.500 0.000
```

=====

Density functional theory data (PBE) for a relaxed LaBi4Pd4 crystal.

Results
- N(E_F) (states/eV/atom) = 0.5052
- raw total energy (eV per atom) = -5.054

Geometry as POSCAR:
```
LaBi4Pd4
1.0
-4.993 4.993 2.336
4.993 -4.993 2.336
4.993 4.993 -2.336
La Bi Pd
1 4 4
Direct
0.000 0.000 0.000
0.153 0.661 0.814
0.339 0.153 0.492
0.661 0.847 0.508
0.847 0.339 0.186
0.306 0.431 0.737
0.431 0.694 0.124
0.569 0.306 0.876
0.694 0.569 0.263
```